[1]
First-principles (PBE-GGA) data for a relaxed Zr2SiOs crystal, as listed in the Open Quantum Materials Database.

The volume is 17.1 Å³ per atom. Its electronic total energy is -8.617 eV/atom.

The space group is F-43m (No. 216) and the conventional cell measures 6.4955, 6.4955 and 6.4955 Å, with angles of 90.00, 90.00 and 90.00 degrees. The inequivalent atoms are Zr at (0.0000, 0.0000, 0.0000), Zr at (0.2500, 0.2500, 0.2500), Si at (0.0000, 0.0000, 0.5000) and Os at (0.2500, 0.2500, 0.7500).

***

[2]
First-principles (PBE-GGA) data for a relaxed Zr2Ge2Pd crystal, as listed in the Open Quantum Materials Database.

The volume is 18.1 Å³ per atom. Its electronic total energy is -7.092 eV/atom.

The space group is P4/mbm (No. 127) and the conventional cell measures 6.6632, 6.6632 and 4.0860 Å, with angles of 90.00, 90.00 and 90.00 degrees. The inequivalent atoms are Zr at (0.1728, 0.3272, 0.0000), Ge at (0.1329, 0.6329, 0.5000) and Pd at (0.0000, 0.0000, 0.5000).

***

[3]
First-principles (PBE-GGA) data for a relaxed SrLiLuSe3 crystal, as listed in the Open Quantum Materials Database.

As for the energy above the most stable polymorph in this dataset: 0.000 eV/atom. The volume is 25.0 Å³ per atom. Its electronic total energy is -4.890 eV/atom.

The space group is C2/m (No. 12) and the conventional cell measures 17.4792, 4.0927 and 8.6435 Å, with angles of 90.00, 104.20 and 90.00 degrees. The inequivalent atoms are Sr at (0.1345, 0.0000, 0.0649), Li at (0.0044, 0.5000, 0.7004), Lu at (0.1654, 0.0000, 0.5848), Se at (0.0000, 0.0000, 0.5000), Se at (0.0000, 0.5000, 0.0000), Se at (0.1682, 0.5000, 0.3604) and Se at (0.1750, 0.5000, 0.8099).

***

[4]
First-principles (PBE-GGA) data for a relaxed BaPt2CO6 crystal, as listed in the Open Quantum Materials Database.

The volume is 12.4 Å³ per atom. Its electronic total energy is -5.159 eV/atom.

The space group is P4/mmm (No. 123) and the conventional cell measures 3.9415, 3.9415 and 7.9500 Å, with angles of 90.00, 90.00 and 90.00 degrees. The inequivalent atoms are Ba at (0.0000, 0.0000, 0.0000), Pt at (0.5000, 0.5000, 0.2576), C at (0.0000, 0.0000, 0.5000), O at (0.0000, 0.5000, 0.2930), O at (0.5000, 0.5000, 0.0000) and O at (0.5000, 0.5000, 0.5000).

***

[5]
First-principles (PBE-GGA) data for a relaxed ZrAl2Sn2 crystal, as listed in the Open Quantum Materials Database.

As for the energy above the most stable polymorph in this dataset: 0.000 eV/atom. The volume is 22.1 Å³ per atom. Its electronic total energy is -4.735 eV/atom.

The space group is I4/mmm (No. 139) and the conventional cell measures 3.8729, 3.8729 and 14.7536 Å, with angles of 90.00, 90.00 and 90.00 degrees. The inequivalent atoms are Zr at (0.0000, 0.0000, 0.0000), Al at (0.0000, 0.5000, 0.2500) and Sn at (0.0000, 0.0000, 0.3993).

***

[6]
First-principles (PBE-GGA) data for a relaxed UBPd crystal, as listed in the Open Quantum Materials Database.

As for the energy above the most stable polymorph in this dataset: 0.571 eV/atom. The volume is 19.0 Å³ per atom. Its electronic total energy is -7.066 eV/atom.

The space group is F-43m (No. 216) and the conventional cell measures 6.1143, 6.1143 and 6.1143 Å, with angles of 90.00, 90.00 and 90.00 degrees. The inequivalent atoms are U at (0.0000, 0.0000, 0.0000), B at (0.0000, 0.0000, 0.5000) and Pd at (0.2500, 0.2500, 0.7500).

***

[7]
First-principles (PBE-GGA) data for a relaxed Dy4HgSbC2 crystal, as listed in the Open Quantum Materials Database.

The volume is 22.1 Å³ per atom. Its electronic total energy is -5.669 eV/atom.

The space group is P-6m2 (No. 187) and the conventional cell measures 3.6373, 3.6373 and 15.4071 Å, with angles of 90.00, 90.00 and 120.00 degrees. The inequivalent atoms are Dy at (0.0000, 0.0000, 0.1623), Dy at (0.6667, 0.3333, 0.3361), Hg at (0.0000, 0.0000, 0.5000), Sb at (0.6667, 0.3333, 0.0000) and C at (0.3333, 0.6667, 0.2483).

***

[8]
First-principles (PBE-GGA) data for a relaxed YTm3Sb4 crystal, as listed in the Open Quantum Materials Database.

The volume is 29.1 Å³ per atom. Its electronic total energy is -5.636 eV/atom.

The space group is Pm-3m (No. 221) and the conventional cell measures 6.1514, 6.1514 and 6.1514 Å, with angles of 90.00, 90.00 and 90.00 degrees. The inequivalent atoms are Y at (0.0000, 0.0000, 0.0000), Tm at (0.0000, 0.5000, 0.5000), Sb at (0.0000, 0.0000, 0.5000) and Sb at (0.5000, 0.5000, 0.5000).

***

[9]
First-principles (PBE-GGA) data for a relaxed TmInHgTe3 crystal, as listed in the Open Quantum Materials Database.

As for the energy above the most stable polymorph in this dataset: 0.065 eV/atom. The volume is 32.2 Å³ per atom. Its electronic total energy is -3.424 eV/atom.

The space group is C2/m (No. 12) and the conventional cell measures 19.1955, 4.3228 and 9.5360 Å, with angles of 90.00, 102.64 and 90.00 degrees. The inequivalent atoms are Tm at (0.1739, 0.0000, 0.0904), In at (0.1323, 0.0000, 0.5818), Hg at (0.0376, 0.5000, 0.2217), Te at (0.0000, 0.0000, 0.0000), Te at (0.0000, 0.5000, 0.5000), Te at (0.1663, 0.5000, 0.8638) and Te at (0.1921, 0.5000, 0.3243).

***

[10]
First-principles (PBE-GGA) data for a relaxed NbTlNO crystal, as listed in the Open Quantum Materials Database.

As for the energy above the most stable polymorph in this dataset: 0.492 eV/atom. The volume is 15.4 Å³ per atom. Its electronic total energy is -6.896 eV/atom.

The space group is P4/nmm (No. 129, origin choice 2) and the conventional cell measures 4.0241, 4.0241 and 7.6137 Å, with angles of 90.00, 90.00 and 90.00 degrees. The inequivalent atoms are Nb at (0.2500, 0.7500, 0.0000), Tl at (0.2500, 0.2500, 0.3533), N at (0.2500, 0.2500, 0.9132) and O at (0.2500, 0.7500, 0.5000).

***

[11]
First-principles (PBE-GGA) data for a relaxed NaTlBiIr crystal, as listed in the Open Quantum Materials Database.

As for the energy above the most stable polymorph in this dataset: 0.000 eV/atom. The volume is 21.3 Å³ per atom. Its electronic total energy is -3.985 eV/atom.

The space group is F-43m (No. 216) and the conventional cell measures 6.9844, 6.9844 and 6.9844 Å, with angles of 90.00, 90.00 and 90.00 degrees. The inequivalent atoms are Na at (0.0000, 0.0000, 0.0000), Tl at (0.2500, 0.2500, 0.2500), Bi at (0.2500, 0.2500, 0.7500) and Ir at (0.0000, 0.0000, 0.5000).

***

[12]
First-principles (PBE-GGA) data for a relaxed Cd2Pd3Au3 crystal, as listed in the Open Quantum Materials Database.

The volume is 17.4 Å³ per atom. The formation energy comes out at -298.0 meV/atom. Its electronic total energy is -3.688 eV/atom.

The space group is Pmmm (No. 47) and the conventional cell measures 4.1418, 4.2455 and 7.9191 Å, with angles of 90.00, 90.00 and 90.00 degrees. The inequivalent atoms are Cd at (0.0000, 0.0000, 0.2429), Pd at (0.0000, 0.5000, 0.0000), Pd at (0.5000, 0.0000, 0.0000), Pd at (0.5000, 0.0000, 0.5000), Au at (0.0000, 0.5000, 0.5000) and Au at (0.5000, 0.5000, 0.2453).